The following is a PBE-GGA calculation of a relaxed structure of AcPuTc, from Alexandria.

Polymorph energy (0 for the lowest one) (meV/atom): 0
Size of the total moment (Bohr magnetons per cell): 19.69
Formation energy (meV per atom): 105

Cell: 6.676 7.454 7.557 Å, 90.00 115.86 90.00°
Positions (direct):
Ac1 0.216 0.155 0.409
Ac2 0.216 0.345 0.909
Ac3 0.784 0.655 0.091
Ac4 0.784 0.845 0.591
Pu1 0.269 0.671 0.584
Pu2 0.269 0.829 0.084
Pu3 0.731 0.171 0.916
Pu4 0.731 0.329 0.416
Tc1 0.361 0.573 0.310
Tc2 0.361 0.927 0.810
Tc3 0.639 0.073 0.190
Tc4 0.639 0.427 0.690